Here is an optimized crystal structure of AgTe2IrI from Alexandria. Energies are from PBE.

Cell and atoms, written as POSCAR:
```
AgTe2IrI
1.0
-4.397 1.488 -2.744
-3.048 -1.020 4.331
0.678 5.096 1.677
I Ir Te Ag
1 1 2 1
direct
0.000 0.000 0.500 I
0.500 0.500 0.500 Ir
0.000 0.500 0.000 Te
0.500 0.000 0.000 Te
0.000 0.000 0.000 Ag
```

Output
For the offset from the most stable computed form, the calculation gives 0.8790 eV per atom. Its spin magnetization is 2.56 μB per cell. For the raw formation energy, the calculation gives 1.444 eV per atom. As for the raw total energy: -12.3 eV/f.u.



Here is an optimized crystal structure of FeSn3Au from Alexandria. Energies are from PBE.

Cell and atoms, written as POSCAR:
```
FeSn3Au
1.0
4.875 0.000 0.000
0.000 4.875 0.000
0.000 0.000 4.875
Au Sn Fe
1 3 1
direct
0.500 0.500 0.500 Au
0.000 0.500 0.000 Sn
0.000 0.000 0.500 Sn
0.500 0.000 0.000 Sn
0.000 0.000 0.000 Fe
```

Output
For the offset from the most stable computed form, the calculation gives 0.0000 eV per atom. Its spin magnetization is 0.00 μB per cell. As for the raw total energy: -23.1 eV/f.u.



Here is an optimized crystal structure of CeLuGa2 from Alexandria. Energies are from PBE.

Cell and atoms, written as POSCAR:
```
CeLuGa2
1.0
-1.846 -0.984 2.893
-0.634 -4.634 -1.980
4.301 -1.538 2.221
Lu Ga Ce
1 2 1
direct
0.500 0.500 0.500 Lu
0.000 0.000 0.500 Ga
0.000 0.500 0.000 Ga
0.500 0.000 0.000 Ce
```

Output
Its spin magnetization is 0.67 μB per cell. As for the raw total energy: -18.4 eV/f.u.



Here is an optimized crystal structure of CaPtSe from Alexandria. Energies are from PBE.

Cell and atoms, written as POSCAR:
```
CaPtSe
1.0
-2.399 5.882 -1.202
-4.714 -0.942 4.801
3.664 2.323 4.053
Ca Se Pt
4 4 4
direct
0.642 0.250 0.872 Ca
0.858 0.750 0.372 Ca
0.358 0.750 0.128 Ca
0.142 0.250 0.628 Ca
0.000 0.000 0.000 Se
0.500 0.500 0.500 Se
0.500 0.000 0.500 Se
0.000 0.500 0.000 Se
0.282 0.250 0.163 Pt
0.218 0.750 0.663 Pt
0.718 0.750 0.837 Pt
0.782 0.250 0.337 Pt
```

Output
Its spin magnetization is 0.00 μB per cell. For the raw formation energy, the calculation gives -0.823 eV per atom. As for the raw total energy: -14.0 eV/f.u.



Here is an optimized crystal structure of RbTl2RuN from Alexandria. Energies are from PBE.

Cell and atoms, written as POSCAR:
```
RbTl2RuN
1.0
6.126 0.000 0.000
0.000 4.433 0.000
0.000 0.000 6.126
Ru Tl Rb N
1 2 1 1
direct
0.500 0.500 0.500 Ru
0.000 0.000 0.500 Tl
0.500 0.000 0.000 Tl
0.000 0.000 0.000 Rb
0.000 0.500 0.000 N
```

Output
Its spin magnetization is 2.86 μB per cell. For the raw formation energy, the calculation gives 2.138 eV per atom. As for the raw total energy: -12.6 eV/f.u.



Here is an optimized crystal structure of CeHfNb4 from Alexandria. Energies are from PBE.

Cell and atoms, written as POSCAR:
```
CeHfNb4
1.0
-4.368 3.055 -1.802
-4.271 1.130 3.484
-0.755 5.235 1.920
Nb Hf Ce
4 1 1
direct
0.625 0.625 0.125 Nb
0.625 0.125 0.625 Nb
0.625 0.625 0.625 Nb
0.125 0.625 0.625 Nb
0.000 0.000 0.000 Hf
0.250 0.250 0.250 Ce
```

Output
Its spin magnetization is 0.00 μB per cell. As for the raw total energy: -55.3 eV/f.u.



Here is an optimized crystal structure of Ca2TaBi from Alexandria. Energies are from PBE.

Cell and atoms, written as POSCAR:
```
Ca2TaBi
1.0
-2.567 6.975 -4.552
1.553 -4.279 -7.433
-3.366 0.300 -5.986
Ca Bi Ta
4 2 2
direct
0.625 0.125 0.250 Ca
0.125 0.625 0.250 Ca
0.375 0.375 0.750 Ca
0.875 0.875 0.750 Ca
0.000 0.000 0.000 Bi
0.750 0.250 0.500 Bi
0.500 0.500 0.000 Ta
0.250 0.750 0.500 Ta
```

Output
Its spin magnetization is 2.93 μB per cell. As for the raw total energy: -17.1 eV/f.u.



Here is an optimized crystal structure of Pa2GaSn from Alexandria. Energies are from PBE.

Cell and atoms, written as POSCAR:
```
Pa2GaSn
1.0
-0.918 4.370 -0.316
-4.495 -0.939 0.078
0.010 0.333 4.580
Pa Sn Ga
2 1 1
direct
0.000 0.000 0.500 Pa
0.000 0.500 0.000 Pa
0.500 0.000 0.000 Sn
0.500 0.500 0.500 Ga
```

Output
For the offset from the most stable computed form, the calculation gives 0.0185 eV per atom. Its spin magnetization is 1.05 μB per cell. As for the raw total energy: -26.8 eV/f.u.



Look up the spin magnetization of the eighth one.
1.05 μB per cell